1.
Below is NiPd8Pt2 after structural relaxation, with properties calculated at the PBE level.

Values from the calculation:
energy relative to the elements = 0.001 eV/atom
N(E_F) = 21.59 states/eV/f.u.

Structure (POSCAR):
```
NiPd8Pt2
1.0
7.0893 -1.9627 0.0000
7.0893 1.9627 0.0000
-1.6207 0.0000 5.9867
Ni Pd Pt
1 8 2
Direct
0.0000 0.0000 0.0000
0.0894 0.0894 0.4479
0.1798 0.1798 0.9082
0.3659 0.3659 0.8231
0.4559 0.4559 0.2673
0.5441 0.5441 0.7327
0.6341 0.6341 0.1769
0.8202 0.8202 0.0918
0.9106 0.9106 0.5521
0.2738 0.2738 0.3657
0.7262 0.7262 0.6343
```

2.
Below is TbEr5Ag4 after structural relaxation, with properties calculated at the PBE level.

Values from the calculation:
energy relative to the elements = -0.257 eV/atom
N(E_F) = 7.55 states/eV/f.u.

Structure (POSCAR):
```
TbEr5Ag4
1.0
3.5784 0.0000 0.0000
0.0000 3.5784 0.0000
0.0000 0.0000 19.5710
Tb Er Ag
1 5 4
Direct
0.0000 0.0000 0.0000
0.5000 0.5000 0.1271
0.5000 0.5000 0.3131
0.5000 0.5000 0.5000
0.5000 0.5000 0.6869
0.5000 0.5000 0.8729
0.0000 0.0000 0.2202
0.0000 0.0000 0.4073
0.0000 0.0000 0.5927
0.0000 0.0000 0.7798
```

3.
Below is TlIn2HAu after structural relaxation, with properties calculated at the PBE level.

Values from the calculation:
energy = -14.1 eV per formula unit
N(E_F) = 2.56 states/eV/f.u.

Structure (POSCAR):
```
TlIn2HAu
1.0
5.7281 0.0000 0.0000
0.0000 5.7281 0.0000
0.0000 0.0000 3.4981
Tl In H Au
1 2 1 1
Direct
0.0000 0.0000 0.0000
0.0000 0.5000 0.5000
0.5000 0.0000 0.5000
0.5000 0.5000 0.0000
0.5000 0.5000 0.5000
```

4.
Below is PmZrPa after structural relaxation, with properties calculated at the PBE level.

Values from the calculation:
energy relative to the elements = 0.193 eV/atom
N(E_F) = 5.40 states/eV/f.u.

Structure (POSCAR):
```
PmZrPa
1.0
-1.6136 1.6136 7.7305
1.6136 -1.6136 7.7305
1.6136 1.6136 -7.7305
Pm Zr Pa
1 1 1
Direct
0.0000 0.0000 0.0000
0.6750 0.6750 0.0000
0.3265 0.3265 0.0000
```

5.
Below is InReRu2 after structural relaxation, with properties calculated at the PBE level.

Values from the calculation:
energy relative to the elements = 0.531 eV/atom
N(E_F) = 3.64 states/eV/f.u.

Structure (POSCAR):
```
InReRu2
1.0
0.0000 3.1652 3.1652
3.1652 0.0000 3.1652
3.1652 3.1652 0.0000
In Re Ru
1 1 2
Direct
0.0000 0.0000 0.0000
0.2500 0.2500 0.2500
0.5000 0.5000 0.5000
0.7500 0.7500 0.7500
```

6.
Below is LiSm6Tl5 after structural relaxation, with properties calculated at the PBE level.

Values from the calculation:
energy relative to the elements = -0.187 eV/atom
N(E_F) = 8.81 states/eV/f.u.

Structure (POSCAR):
```
LiSm6Tl5
1.0
3.2915 -5.6173 0.0000
3.2915 5.6173 0.0000
-2.0220 0.0000 9.9331
Li Sm Tl
1 6 5
Direct
0.0000 0.0000 0.0000
0.0910 0.4327 0.2578
0.2631 0.2631 0.7621
0.4327 0.0910 0.2578
0.5673 0.9090 0.7422
0.7369 0.7369 0.2379
0.9090 0.5673 0.7422
0.1539 0.8461 0.5000
0.3135 0.6865 0.0000
0.5000 0.5000 0.5000
0.6865 0.3135 0.0000
0.8461 0.1539 0.5000
```

7.
Below is Be2PAu after structural relaxation, with properties calculated at the PBE level.

Values from the calculation:
energy relative to the elements = 0.245 eV/atom
N(E_F) = 1.54 states/eV/f.u.

Structure (POSCAR):
```
Be2PAu
1.0
2.6608 -3.5067 0.0000
2.6608 3.5067 0.0000
0.0000 0.0000 2.7108
Be P Au
2 1 1
Direct
0.0000 0.5000 0.0000
0.5000 0.0000 0.0000
0.0000 0.0000 0.5000
0.5000 0.5000 0.5000
```

8.
Below is CaSn2Te3 after structural relaxation, with properties calculated at the PBE level.

Values from the calculation:
formation energy from raw total energies = -722 meV/atom

Structure (POSCAR):
```
CaSn2Te3
1.0
-2.2711 3.1946 6.8335
2.2711 -3.1946 6.8335
2.2711 3.1946 -6.8335
Ca Sn Te
1 2 3
Direct
0.0000 0.0000 0.0000
0.3344 0.3344 0.0000
0.6656 0.6656 0.0000
0.1660 0.6660 0.5000
0.5000 0.0000 0.5000
0.8340 0.3340 0.5000
```

9.
Below is SrTcAu after structural relaxation, with properties calculated at the PBE level.

Values from the calculation:
energy relative to the elements = 0.671 eV/atom
N(E_F) = 2.67 states/eV/f.u.

Structure (POSCAR):
```
SrTcAu
1.0
0.0000 3.4678 3.4678
3.4678 0.0000 3.4678
3.4678 3.4678 0.0000
Sr Tc Au
1 1 1
Direct
0.0000 0.0000 0.0000
0.5000 0.5000 0.5000
0.2500 0.2500 0.2500
```

10.
Below is NiOsRh after structural relaxation, with properties calculated at the PBE level.

Values from the calculation:
energy relative to the elements = 0.092 eV/atom
N(E_F) = 3.44 states/eV/f.u.

Structure (POSCAR):
```
NiOsRh
1.0
2.6947 0.0000 0.0000
-1.3473 2.3336 0.0000
0.0000 0.0000 12.8206
Ni Os Rh
2 2 2
Direct
0.3333 0.6667 0.0747
0.6667 0.3333 0.9253
0.3333 0.6667 0.4147
0.6667 0.3333 0.5853
0.0000 0.0000 0.2402
0.0000 0.0000 0.7598
```

11.
Below is Sr2PaCdTe5 after structural relaxation, with properties calculated at the PBE level.

Values from the calculation:
formation energy from raw total energies = -1102 meV/atom
N(E_F) = 5.84 states/eV/f.u.

Structure (POSCAR):
```
Sr2PaCdTe5
1.0
2.2584 -9.8505 0.0000
2.2584 9.8505 0.0000
0.0000 0.0000 14.1112
Sr Pa Cd Te
4 2 2 10
Direct
0.1102 0.8898 0.5000
0.1237 0.8763 0.1353
0.8763 0.1237 0.6353
0.8898 0.1102 0.0000
0.2064 0.7936 0.8371
0.7936 0.2064 0.3371
0.4427 0.5573 0.2631
0.5573 0.4427 0.7631
0.0535 0.9465 0.8834
0.2872 0.7128 0.4872
0.3020 0.6980 0.1832
0.3609 0.6391 0.8224
0.4977 0.5023 0.5861
0.5023 0.4977 0.0861
0.6391 0.3609 0.3224
0.6980 0.3020 0.6832
0.7128 0.2872 0.9872
0.9465 0.0535 0.3834
```

12.
Below is Sr4CaPr2Cu4HgO14 after structural relaxation, with properties calculated at the PBE level.

Values from the calculation:
formation energy from raw total energies = -1927 meV/atom
N(E_F) = 9.00 states/eV/f.u.

Structure (POSCAR):
```
Sr4CaPr2Cu4HgO14
1.0
-2.6949 2.6949 12.4784
2.6949 -2.6949 12.4784
2.6949 2.6949 -12.4784
Sr Ca Pr Cu Hg O
4 1 2 4 1 14
Direct
0.1433 0.1433 0.0000
0.3546 0.3546 0.0000
0.6454 0.6454 0.0000
0.8567 0.8567 0.0000
0.0000 0.0000 0.0000
0.2500 0.7500 0.5000
0.5000 0.5000 0.0000
0.0736 0.5736 0.5000
0.4264 0.9264 0.5000
0.5710 0.0710 0.5000
0.9290 0.4290 0.5000
0.7500 0.2500 0.5000
0.1592 0.6592 0.5000
0.1847 0.1873 0.4993
0.1847 0.6854 0.9974
0.2499 0.2499 0.0000
0.3146 0.3120 0.4993
0.3146 0.8153 0.0026
0.3408 0.8408 0.5000
0.6640 0.1640 0.5000
0.6880 0.1873 0.0026
0.6880 0.6854 0.5007
0.7501 0.7501 0.0000
0.8127 0.3120 0.9974
0.8127 0.8153 0.5007
0.8360 0.3360 0.5000
```

13.
Below is NaTmI3 after structural relaxation, with properties calculated at the PBE level.

Values from the calculation:
formation energy from raw total energies = -1038 meV/atom
N(E_F) = 1.86 states/eV/f.u.

Structure (POSCAR):
```
NaTmI3
1.0
8.4413 0.0000 0.0000
-4.2206 7.3104 0.0000
0.0000 0.0000 6.8903
Na Tm I
2 2 6
Direct
0.3333 0.6667 0.2500
0.6667 0.3333 0.7500
0.0000 0.0000 0.0000
0.0000 0.0000 0.5000
0.1711 0.3423 0.7500
0.1711 0.8289 0.7500
0.3423 0.1711 0.2500
0.6577 0.8289 0.7500
0.8289 0.1711 0.2500
0.8289 0.6577 0.2500
```

14.
Below is ErVPt2 after structural relaxation, with properties calculated at the PBE level.

Values from the calculation:
energy relative to the elements = -0.698 eV/atom
N(E_F) = 4.20 states/eV/f.u.

Structure (POSCAR):
```
ErVPt2
1.0
4.3991 0.0000 0.0000
0.0000 4.3991 0.0000
0.0000 0.0000 3.6877
Er V Pt
1 1 2
Direct
0.0000 0.0000 0.0000
0.5000 0.5000 0.0000
0.0000 0.5000 0.5000
0.5000 0.0000 0.5000
```

15.
Below is BC5 after structural relaxation, with properties calculated at the PBE level.

Values from the calculation:
energy relative to the elements = 0.332 eV/atom
N(E_F) = 0.09 states/eV/f.u.

Structure (POSCAR):
```
BC5
1.0
3.7215 0.0000 0.0000
-1.8600 4.8134 0.0000
-0.8379 -1.4801 7.5786
B C
2 10
Direct
0.0901 0.3258 0.2510
0.9099 0.6742 0.7490
0.0687 0.9916 0.7491
0.1237 0.4691 0.7492
0.1468 0.8248 0.2508
0.4678 0.1752 0.7492
0.4910 0.4691 0.7492
0.5090 0.5309 0.2508
0.5322 0.8248 0.2508
0.8532 0.1752 0.7492
0.8763 0.5309 0.2508
0.9313 0.0084 0.2509
```

16.
Below is Cs2TlHg2I6 after structural relaxation, with properties calculated at the PBE level.

Values from the calculation:
formation energy from raw total energies = -767 meV/atom
N(E_F) = 4.57 states/eV/f.u.

Structure (POSCAR):
```
Cs2TlHg2I6
1.0
7.4510 -4.4676 0.0000
7.4510 4.4676 0.0000
-4.8230 0.0000 8.7615
Cs Tl Hg I
2 1 2 6
Direct
0.2156 0.2156 0.2079
0.7844 0.7844 0.7921
0.0000 0.0000 0.5000
0.4724 0.4724 0.8423
0.5276 0.5276 0.1577
0.1601 0.7007 0.1841
0.2577 0.2577 0.6262
0.2993 0.8399 0.8159
0.7007 0.1601 0.1841
0.7423 0.7423 0.3738
0.8399 0.2993 0.8159
```

17.
Below is Tm7AgPt4 after structural relaxation, with properties calculated at the PBE level.

Values from the calculation:
energy relative to the elements = -0.798 eV/atom
N(E_F) = 7.97 states/eV/f.u.

Structure (POSCAR):
```
Tm7AgPt4
1.0
6.9512 -2.5943 0.0000
6.9512 2.5943 0.0000
-6.1929 0.0000 8.0128
Tm Ag Pt
7 1 4
Direct
0.0000 0.0000 0.0000
0.1595 0.1595 0.6032
0.2871 0.2871 0.1311
0.4220 0.4220 0.6638
0.5780 0.5780 0.3362
0.7129 0.7129 0.8689
0.8405 0.8405 0.3968
0.5000 0.5000 0.0000
0.0677 0.0677 0.7791
0.2116 0.2116 0.3401
0.7884 0.7884 0.6599
0.9323 0.9323 0.2209
```

18.
Below is InTe2Cl after structural relaxation, with properties calculated at the PBE level.

Values from the calculation:
formation energy from raw total energies = -39 meV/atom
N(E_F) = 1.32 states/eV/f.u.

Structure (POSCAR):
```
InTe2Cl
1.0
2.1076 -3.8230 0.0000
2.1076 3.8230 0.0000
0.0000 0.0000 8.1688
In Te Cl
1 2 1
Direct
0.0000 0.0000 0.0000
0.5000 0.5000 0.2331
0.5000 0.5000 0.7669
0.0000 0.0000 0.5000
```

19.
Below is Nd2DyY4 after structural relaxation, with properties calculated at the PBE level.

Values from the calculation:
energy relative to the elements = 0.045 eV/atom
N(E_F) = 12.06 states/eV/f.u.

Structure (POSCAR):
```
Nd2DyY4
1.0
8.4965 -1.7886 0.0000
8.4965 1.7886 0.0000
-4.4254 0.0000 7.6478
Nd Dy Y
2 1 4
Direct
0.0697 0.0697 0.4310
0.9303 0.9303 0.5690
0.0000 0.0000 0.0000
0.2955 0.2955 0.7081
0.3550 0.3550 0.1547
0.6450 0.6450 0.8453
0.7045 0.7045 0.2919
```

20.
Below is Fe4NiTe after structural relaxation, with properties calculated at the PBE level.

Values from the calculation:
formation energy from raw total energies = 310 meV/atom
N(E_F) = 5.07 states/eV/f.u.

Structure (POSCAR):
```
Fe4NiTe
1.0
0.0000 3.4275 3.4275
3.4275 0.0000 3.4275
3.4275 3.4275 0.0000
Fe Ni Te
4 1 1
Direct
0.1244 0.1244 0.1244
0.1244 0.1244 0.6269
0.1244 0.6269 0.1244
0.6269 0.1244 0.1244
0.7500 0.7500 0.7500
0.5000 0.5000 0.5000
```

21.
Below is La9CePr2 after structural relaxation, with properties calculated at the PBE level.

Values from the calculation:
energy relative to the elements = 0.020 eV/atom
N(E_F) = 22.23 states/eV/f.u.

Structure (POSCAR):
```
La9CePr2
1.0
5.2250 0.0000 0.0000
0.0000 5.2250 0.0000
0.0000 0.0000 15.6949
La Ce Pr
9 1 2
Direct
0.0000 0.0000 0.0000
0.0000 0.0000 0.3321
0.0000 0.0000 0.6679
0.0000 0.5000 0.1598
0.0000 0.5000 0.5000
0.0000 0.5000 0.8402
0.5000 0.0000 0.1598
0.5000 0.0000 0.5000
0.5000 0.0000 0.8402
0.5000 0.5000 0.0000
0.5000 0.5000 0.3322
0.5000 0.5000 0.6678
```

22.
Below is Tl2TeI after structural relaxation, with properties calculated at the PBE level.

Values from the calculation:
formation energy from raw total energies = -247 meV/atom
N(E_F) = 4.05 states/eV/f.u.

Structure (POSCAR):
```
Tl2TeI
1.0
-4.2618 4.2618 4.8426
4.2618 -4.2618 4.8426
4.2618 4.2618 -4.8426
Tl Te I
4 2 2
Direct
0.1026 0.6250 0.9776
0.3750 0.3526 0.4776
0.6474 0.1250 0.0224
0.8750 0.8974 0.5224
0.0000 0.0000 0.0000
0.7500 0.2500 0.5000
0.2500 0.7500 0.5000
0.5000 0.5000 0.0000
```

23.
Below is NaCa3Pb2 after structural relaxation, with properties calculated at the PBE level.

Values from the calculation:
energy relative to the elements = -0.433 eV/atom
N(E_F) = 4.70 states/eV/f.u.

Structure (POSCAR):
```
NaCa3Pb2
1.0
5.4444 0.0000 0.0000
0.0000 9.8492 0.0000
0.0000 0.0000 7.0469
Na Ca Pb
2 6 4
Direct
0.0000 0.0303 0.0000
0.0000 0.9697 0.5000
0.0000 0.3144 0.6835
0.0000 0.6856 0.1835
0.5000 0.1641 0.2729
0.5000 0.4743 0.9660
0.5000 0.5257 0.4660
0.5000 0.8359 0.7729
0.0000 0.3564 0.2119
0.0000 0.6436 0.7119
0.5000 0.1622 0.7559
0.5000 0.8378 0.2559
```